NaMg5Rh4 | PBE | relaxed

Output
calculated total energy	-42.60	eV per formula unit
ρ	5.28	g/cm³

Structure (extended XYZ):
```
10
Lattice="3.1546 0.0000 0.0000 0.0000 3.1546 0.0000 0.0000 0.0000 17.5816" Properties=species:S:1:pos:R:3 pbc="T T T"
Na 0.0000 0.0000 0.0000
Mg 1.5773 1.5773 2.7068
Mg 1.5773 1.5773 5.7189
Mg 1.5773 1.5773 8.7908
Mg 1.5773 1.5773 11.8627
Mg 1.5773 1.5773 14.8748
Rh 0.0000 0.0000 4.1363
Rh 0.0000 0.0000 7.2590
Rh 0.0000 0.0000 10.3226
Rh 0.0000 0.0000 13.4453
```